No. 1
# AgIr2Se | the Alexandria database | GGA-PBE | relaxed
# - Crystal system: tetragonal
# - Mass density: 14.87 g/cm³
# - Energy relative to the elements, uncorrected: 2.02 eV/f.u.
# - Calculated volume: 63.8 Å³ per cell
data_AgIr2Se
_chemical_formula_sum 'Ag1 Ir2 Se1'
_space_group_name_H-M_alt 'P 4/m m m'
_space_group_IT_number 123
_space_group_name_Hall '-P 4 2'
_cell_length_a 2.982
_cell_length_b 2.982
_cell_length_c 7.178
_cell_angle_alpha 90.00
_cell_angle_beta 90.00
_cell_angle_gamma 90.00
loop_
_atom_site_label
_atom_site_type_symbol
_atom_site_fract_x
_atom_site_fract_y
_atom_site_fract_z
_atom_site_occupancy
Ag1 Ag 0.000 0.000 0.000 1
Ir1 Ir 0.500 0.500 0.279 1
Se1 Se 0.000 0.000 0.500 1

No. 2
# AgIrSe3 | the Alexandria database | GGA-PBE | relaxed
# - Energy above the most stable polymorph in this dataset: 0.0000 eV/atom
# - Crystal system: cubic
# - Mass density: 7.36 g/cm³
# - Energy relative to the elements, uncorrected: 2.95 eV/f.u.
# - Calculated volume: 121.2 Å³ per cell
data_AgIrSe3
_chemical_formula_sum 'Ag1 Ir1 Se3'
_space_group_name_H-M_alt 'P m -3 m'
_space_group_IT_number 221
_space_group_name_Hall '-P 4 2 3'
_cell_length_a 4.948
_cell_length_b 4.948
_cell_length_c 4.948
_cell_angle_alpha 90.00
_cell_angle_beta 90.00
_cell_angle_gamma 90.00
loop_
_atom_site_label
_atom_site_type_symbol
_atom_site_fract_x
_atom_site_fract_y
_atom_site_fract_z
_atom_site_occupancy
Ag1 Ag 0.000 0.000 0.000 1
Ir1 Ir 0.500 0.500 0.500 1
Se1 Se 0.000 0.500 0.500 1

No. 3
# AgIrSe2 | the Alexandria database | GGA-PBE | relaxed
# - Crystal system: monoclinic
# - Mass density: 9.00 g/cm³
# - Energy relative to the elements, uncorrected: 0.31 eV/f.u.
# - Calculated volume: 84.5 Å³ per cell
data_AgIrSe2
_chemical_formula_sum 'Ag1 Ir1 Se2'
_space_group_name_H-M_alt 'P 1 2/m 1'
_space_group_IT_number 10
_cell_length_a 4.739
_cell_length_b 3.625
_cell_length_c 5.282
_cell_angle_alpha 90.00
_cell_angle_beta 111.43
_cell_angle_gamma 90.00
loop_
_space_group_symop_operation_xyz
'x,y,z'
'-x,-y,-z'
'-x,y,-z'
'x,-y,z'
loop_
_atom_site_label
_atom_site_type_symbol
_atom_site_fract_x
_atom_site_fract_y
_atom_site_fract_z
_atom_site_occupancy
Ag1 Ag 0.000 0.000 0.000 1
Ir1 Ir 0.500 0.000 0.500 1
Se1 Se 0.275 0.500 0.674 1

No. 4
# AgIr2Se | the Alexandria database | GGA-PBE | relaxed
# - Crystal system: monoclinic
# - Mass density: 13.20 g/cm³
# - Energy relative to the elements, uncorrected: 1.09 eV/f.u.
# - Calculated volume: 71.9 Å³ per cell
data_AgIr2Se
_chemical_formula_sum 'Ag1 Ir2 Se1'
_space_group_name_H-M_alt 'P 1 m 1'
_space_group_IT_number 6
_cell_length_a 2.775
_cell_length_b 3.469
_cell_length_c 7.465
_cell_angle_alpha 90.00
_cell_angle_beta 90.14
_cell_angle_gamma 90.00
loop_
_space_group_symop_operation_xyz
'x,y,z'
'x,-y,z'
loop_
_atom_site_label
_atom_site_type_symbol
_atom_site_fract_x
_atom_site_fract_y
_atom_site_fract_z
_atom_site_occupancy
Ag1 Ag 0.000 0.000 0.000 1
Ir1 Ir 0.498 0.500 0.757 1
Ir2 Ir 0.997 0.000 0.567 1
Se1 Se 0.996 0.500 0.326 1